(1)
HfTi2Co3 | PBE | relaxed

Energy of formation from the pure elements in eV per atom: -0.3790
Energy above the most stable polymorph in this dataset in meV per atom: 3

```
HfTi2Co3
1.0
2.9744 0.0000 0.0000
0.0000 2.9744 0.0000
0.0000 0.0000 9.4283
Hf Ti Co
1 2 3
Cartesian
1.4872 1.4872 4.7141
1.4872 1.4872 7.9199
1.4872 1.4872 1.5084
0.0000 0.0000 0.0000
0.0000 0.0000 6.5563
0.0000 0.0000 2.8720
```

---

(2)
HfTi2Co3 | PBE | relaxed

Energy of formation from the pure elements in eV per atom: -0.3822
Energy above the most stable polymorph in this dataset in meV per atom: 0

```
HfTi2Co3
1.0
4.1699 0.0000 0.0000
-2.0849 3.6112 0.0000
0.0000 0.0000 5.6088
Hf Ti Co
1 2 3
Cartesian
0.0000 0.0000 0.0000
2.0849 1.2037 1.8801
0.0000 2.4075 3.7287
0.0000 0.0000 2.8044
2.0849 1.2037 4.3149
0.0000 2.4075 1.2939
```

---

(3)
Hf2Ti3Co4 | PBE | relaxed

Energy of formation from the pure elements in eV per atom: -0.3380

```
Hf2Ti3Co4
1.0
6.4424 0.1692 0.0000
-1.9597 5.6106 0.0000
0.0000 0.0000 7.3803
Hf Ti Co
4 6 8
Cartesian
3.2498 1.1644 2.3555
4.4542 4.7000 6.0456
1.2330 4.6154 5.0248
0.0286 1.0798 1.3346
-0.9798 2.8053 3.6901
2.2414 2.8899 0.0000
4.4639 1.5370 6.2025
3.2400 4.3274 2.5124
0.0188 4.2428 1.1778
1.2427 1.4524 4.8679
5.3051 0.6220 4.0351
2.3989 5.2424 0.3449
-0.8223 5.1578 3.3452
2.0839 0.5373 7.0353
4.5130 3.0224 0.8753
3.1909 2.8420 4.5655
-0.0303 2.7574 6.5049
1.2918 2.9377 2.8148
```

---

(4)
Hf3Ti4Co4 | PBE | relaxed

Energy of formation from the pure elements in eV per atom: -0.2525

```
Hf3Ti4Co4
1.0
-3.1262 -0.5723 2.5161
-2.5485 -4.3318 -4.1517
6.1571 -2.3974 3.8397
Hf Ti Co
3 4 4
Cartesian
0.7421 -1.0840 0.6755
-0.2597 -6.2174 1.5285
-1.2743 -2.1659 -2.0759
2.7198 -2.3155 2.8527
-1.1885 -3.2030 1.0601
-2.2374 -4.9859 -0.6488
1.6709 -4.0983 1.1439
0.1416 -4.2341 -0.7871
0.3408 -3.0673 2.9911
-3.6456 -3.8258 -2.1346
-2.0291 -1.0782 0.4989
```

---

Size of the total moment list, top to bottom, in μB per cell: 0.3, 0.0, 0.0, 0.0